Here is a relaxed structure of Tm3TlIr2 from the Alexandria database. Energies are from GGA-PBE.

abc: 3.331 3.331 11.958
angles: 90.00 90.00 90.00
Element x y z (fractional)
1 Tm 0.000 0.000 0.000
2 Tm 0.000 0.000 0.712
3 Tm 0.000 0.000 0.288
4 Tl 0.500 0.500 0.500
5 Ir 0.500 0.500 0.850
6 Ir 0.500 0.500 0.150

energy relative to the elements: -737 meV per atom
magnetic moment: 0.00 Bohr magnetons per cell
SG: P4/mmm

---

Here is a relaxed structure of Tm12Tl6Ir from the Alexandria database. Energies are from GGA-PBE.

abc: 8.238 8.238 8.238
angles: 93.77 93.77 93.77
Element x y z (fractional)
1 Tm 0.793 0.574 0.454
2 Tm 0.454 0.793 0.574
3 Tm 0.574 0.454 0.793
4 Tm 0.207 0.426 0.546
5 Tm 0.546 0.207 0.426
6 Tm 0.426 0.546 0.207
7 Tm 0.969 0.094 0.313
8 Tm 0.906 0.687 0.031
9 Tm 0.687 0.031 0.906
10 Tm 0.031 0.906 0.687
11 Tm 0.094 0.313 0.969
12 Tm 0.313 0.969 0.094
13 Tl 0.648 0.868 0.272
14 Tl 0.728 0.352 0.132
15 Tl 0.132 0.728 0.352
16 Tl 0.352 0.132 0.728
17 Tl 0.272 0.648 0.868
18 Tl 0.868 0.272 0.648
19 Ir 0.000 0.000 0.000

energy relative to the elements: -188 meV per atom
magnetic moment: 0.00 Bohr magnetons per cell
SG: R-3

---

Here is a relaxed structure of Tm6Tl2Ir from the Alexandria database. Energies are from GGA-PBE.

abc: 3.845 8.557 8.490
angles: 120.26 90.00 90.00
Element x y z (fractional)
1 Tm 0.500 0.607 0.000
2 Tm 0.500 0.383 0.385
3 Tm 0.500 0.998 0.615
4 Tm 0.000 0.247 0.000
5 Tm 0.000 0.760 0.763
6 Tm 0.000 0.996 0.237
7 Tl 0.000 0.331 0.664
8 Tl 0.000 0.667 0.336
9 Ir 0.500 0.011 0.000

energy relative to the elements: -440 meV per atom
magnetic moment: 0.00 Bohr magnetons per cell
SG: Amm2